(1)
## Cs2MnCl4F2 (PBE+U)

Data for Cs2MnCl4F2 after structural relaxation.

Cell: 7.2667 7.2667 7.2667 Å, 87.34 121.55 121.55°
With the nearest neighbours (Å) after each atom.
Positions (direct):
Cs: 0.5000 0.7500 0.2500  4 F 3.63, 8 Cl 3.64
Cs: 0.5000 0.2500 0.7500  4 F 3.63, 8 Cl 3.64
Mn: 0.0000 0.0000 0.0000  2 F 1.85
Cl: 0.0000 0.7676 0.2324  1 Mn 2.33
Cl: 0.5351 0.7676 0.7676  1 Mn 2.33
Cl: 0.0000 0.2324 0.7676  1 Mn 2.33
Cl: 0.4649 0.2324 0.2324  1 Mn 2.33
F: 0.0000 0.8244 0.8244  1 Mn 1.85
F: 0.0000 0.1756 0.1756  1 Mn 1.85

## Properties
- Space group: I4/mmm (139)
- Raw total energy: -4.0287 eV per atom

=====

(2)
## FeSbTeO6 (PBE+U)

Data for FeSbTeO6 after structural relaxation.

Cell: 5.3786 5.3786 8.8737 Å, 90.00 90.00 120.00°
With the nearest neighbours (Å) after each atom.
Positions (direct):
Fe: 0.0000 0.0000 0.0000  6 O 2.11
Fe: 0.0000 0.0000 0.5000  6 O 2.11
Sb: 0.3333 0.6667 0.2500  6 O 2.03
Sb: 0.6667 0.3333 0.7500  6 O 2.03
Te: 0.6667 0.3333 0.2500  6 O 2.19
Te: 0.3333 0.6667 0.7500  6 O 2.19
O: 0.6558 0.6788 0.1259  1 Sb 2.03, 1 Fe 2.11, 1 Te 2.19
O: 0.0230 0.3442 0.1259  1 Sb 2.03, 1 Fe 2.11, 1 Te 2.19
O: 0.3442 0.0230 0.6259  1 Sb 2.03, 1 Fe 2.11, 1 Te 2.19
O: 0.9770 0.6558 0.8741  1 Sb 2.03, 1 Fe 2.11, 1 Te 2.19
O: 0.3212 0.3442 0.3741  1 Sb 2.03, 1 Fe 2.11, 1 Te 2.19
O: 0.0230 0.6788 0.3741  1 Sb 2.03, 1 Fe 2.11, 1 Te 2.19
O: 0.6788 0.0230 0.8741  1 Sb 2.03, 1 Fe 2.11, 1 Te 2.19
O: 0.6558 0.9770 0.3741  1 Sb 2.03, 1 Fe 2.11, 1 Te 2.19
O: 0.9770 0.3212 0.6259  1 Sb 2.03, 1 Fe 2.11, 1 Te 2.19
O: 0.3212 0.9770 0.1259  1 Sb 2.03, 1 Fe 2.11, 1 Te 2.19
O: 0.6788 0.6558 0.6259  1 Sb 2.03, 1 Fe 2.11, 1 Te 2.19
O: 0.3442 0.3212 0.8741  1 Sb 2.03, 1 Fe 2.11, 1 Te 2.19

## Properties
- Space group: P-31c (163)
- Raw total energy: -5.8548 eV per atom

=====

Question: What is the raw total energy in the first record?
Answer: -4.0287 eV per atom

=====

Question: Which formula does entry 1 have?
Answer: Cs2MnCl4F2

=====

Question: Which formula does entry 2 have?
Answer: FeSbTeO6